1.
meta-GGA SCAN Y2Rh2N, PBEsol geometry; SG = I4/mmm; uncorrected formation energy = -0.179 eV/atom; V = 18.988 A^3/atom; electronic total energy = -26.68 eV per atom
1.0
-1.729 0.537 -4.683
-3.443 -1.335 3.403
1.615 4.228 2.174
Y Rh N
2 2 1
Cartesian
-3.043 0.324 0.754
-0.514 3.106 0.139
-1.291 2.044 3.939
-0.537 0.850 1.637
0.000 0.000 0.000

---

2.
meta-GGA SCAN BaCoTe, PBEsol geometry; SG = P-6m2; uncorrected formation energy = -0.554 eV/atom; V = 26.363 A^3/atom; ΔE to the lowest computed polymorph = 0.0000 eV/atom; electronic total energy = -31.92 eV per atom
1.0
4.330 0.000 0.000
-2.165 3.750 0.000
0.000 0.000 4.871
Ba Co Te
1 1 1
Cartesian
0.000 0.000 4.869
0.000 2.500 2.437
2.165 1.250 2.435

---

3.
meta-GGA SCAN BaMnCo2, PBEsol geometry; SG = Amm2; V = 20.490 A^3/atom; electronic total energy = -22.65 eV per atom; calculated formation energy = 0.46 eV per atom
1.0
3.813 0.000 -0.037
0.000 3.742 0.000
-1.850 0.000 5.762
Ba Co Mn
1 2 1
Cartesian
-0.670 1.871 4.570
3.103 0.000 0.485
3.113 1.871 1.555
1.210 0.000 1.942

---

4.
meta-GGA SCAN TlTeRh2, PBEsol geometry; SG = Pmm2; uncorrected formation energy = 0.008 eV/atom; V = 18.491 A^3/atom; ΔE to the lowest computed polymorph = 0.0000 eV/atom; electronic total energy = -44.28 eV per atom
1.0
-0.244 -1.991 -2.546
2.448 -3.118 2.202
-4.219 -1.950 1.930
Rh Te Tl
2 1 1
Cartesian
0.013 -0.305 -0.280
-1.631 -3.023 -0.058
0.969 -2.673 -0.583
-0.265 -3.612 2.334

---

5.
meta-GGA SCAN TcOs, PBEsol geometry; SG = Pmma; V = 13.913 A^3/atom; ΔE to the lowest computed polymorph = 0.0000 eV/atom; electronic total energy = -53.59 eV per atom; calculated formation energy = -0.12 eV per atom
1.0
-1.937 1.805 -0.646
-2.693 -1.883 2.814
1.547 2.879 3.407
Os Tc
2 2
Cartesian
-0.732 0.984 4.946
-0.414 0.012 1.275
-2.470 0.453 2.928
-0.612 2.347 2.648

---

6.
meta-GGA SCAN K3FeO4, PBEsol geometry; SG = Pnma; uncorrected formation energy = -1.662 eV/atom; V = 16.576 A^3/atom; electronic total energy = -10.17 eV per atom
1.0
7.573 0.000 0.000
0.000 7.825 0.000
0.000 0.000 8.950
K Fe O
12 4 16
Cartesian
3.499 1.716 4.794
5.045 4.357 6.713
2.529 3.469 2.238
6.315 0.444 2.238
4.075 6.109 4.157
0.288 5.629 0.319
7.285 2.196 4.794
3.499 1.716 8.632
4.075 6.109 0.319
7.285 2.196 8.632
0.288 5.629 4.157
1.258 7.381 6.713
1.699 3.837 6.713
5.485 0.075 6.713
2.088 7.750 2.238
5.875 3.988 2.238
1.624 2.135 6.713
5.411 1.778 6.713
2.163 6.048 2.238
5.949 5.690 2.238
3.938 7.181 6.713
0.151 4.556 6.713
7.422 3.269 2.238
3.636 0.644 2.238
5.164 3.588 0.721
1.377 0.324 3.754
6.196 7.501 8.229
2.410 4.237 5.196
2.410 4.237 8.229
5.164 3.588 3.754
1.377 0.324 0.721
6.196 7.501 5.196

---

7.
meta-GGA SCAN CsS2NO4F2, PBEsol geometry; SG = P2_1/c; uncorrected formation energy = -1.572 eV/atom; V = 17.460 A^3/atom; electronic total energy = -11.41 eV per atom
1.0
-2.841 -4.064 6.089
-4.897 -4.503 -5.291
8.326 -6.091 -2.522
Cs S N O F
4 8 4 16 8
Cartesian
3.504 -9.512 -5.444
2.628 -6.196 -0.628
-2.916 -5.146 3.720
-2.040 -8.462 -1.096
0.038 -7.695 -4.602
5.507 -8.554 -2.105
0.550 -6.964 2.878
-4.919 -6.104 0.380
-0.439 -5.360 -3.246
-0.261 -2.884 1.310
1.027 -9.299 1.522
0.849 -11.775 -3.034
0.086 -6.117 -4.537
-1.826 -3.083 1.478
0.503 -8.542 2.813
2.414 -11.575 -3.202
-1.193 -8.285 -4.149
-2.441 -2.656 -0.957
1.781 -6.373 2.424
3.029 -12.003 -0.767
0.618 -8.126 -5.838
4.162 -8.825 -1.695
-0.030 -6.532 4.113
-3.574 -5.833 -0.029
-2.975 -8.036 2.697
0.380 -3.402 2.477
3.564 -6.623 -4.421
0.209 -11.256 -4.201
-0.182 -6.030 -2.000
0.137 -1.611 0.772
0.770 -8.628 0.276
0.452 -13.047 -2.496
1.110 -8.155 -3.484
5.668 -6.960 -1.891
-0.522 -6.503 1.760
-5.079 -7.698 0.167
-2.035 -5.445 -3.393
0.118 -3.918 0.142
2.624 -9.213 1.669
0.470 -10.741 -1.866

---

8.
meta-GGA SCAN LiMoP2O7, PBEsol geometry; SG = C2/c; uncorrected formation energy = -2.354 eV/atom; V = 11.614 A^3/atom; ΔE to the lowest computed polymorph = 0.0025 eV/atom; electronic total energy = -11.60 eV per atom
1.0
-5.266 -3.383 1.437
3.287 -4.583 -3.071
6.426 0.433 11.542
Li Mo P O
4 4 8 28
Cartesian
3.899 -3.781 9.154
-1.526 -3.995 4.449
5.973 -3.538 5.460
0.548 -3.753 0.755
-0.184 -6.651 -0.044
3.011 -3.592 2.605
1.436 -3.941 7.304
4.631 -0.882 9.953
3.697 -1.652 6.882
1.494 -1.736 4.902
2.211 -4.974 -1.616
-2.454 -4.788 1.578
0.749 -5.881 3.027
2.953 -5.797 5.007
2.236 -2.559 11.525
6.900 -2.745 8.331
4.958 -1.728 6.008
5.666 -2.563 9.227
2.335 -1.911 3.632
3.337 -3.075 7.338
-0.512 -5.806 3.901
-1.219 -4.970 0.682
2.112 -5.622 6.277
1.110 -4.458 2.571
0.828 -2.858 11.073
0.664 -6.896 1.885
1.938 -6.451 3.920
5.601 -6.041 9.514
3.477 -4.474 4.445
0.740 -2.258 8.255
-3.683 -4.384 0.651
1.268 -5.209 -0.431
2.326 -2.692 0.811
-2.175 -3.640 2.561
6.622 -3.893 7.348
2.121 -4.841 9.098
3.179 -2.324 10.340
8.130 -3.150 9.258
3.706 -5.275 1.654
0.970 -3.060 5.464
-1.154 -1.492 0.395
2.509 -1.083 5.989
3.783 -0.638 8.024
3.619 -4.676 -1.164